(1)
A geometry-optimized TaCdPt2 structure. Source: Alexandria via LeMat-Bulk, functional GGA-PBE.

Unit cell a=4.927 b=4.927 c=2.864 alpha=90.00 beta=90.00 gamma=97.60
Atoms (fractional coordinates):
Cd 0.000 0.500 0.500
Ta 0.500 0.000 0.500
Pt 0.000 0.000 0.000
Pt 0.500 0.500 0.000

Calculated values
For the calculated density, the calculation gives 16.468 Mg/m³. Its symmetry is No. 65. Its magnetic moment is 0.00 μB/f.u. The calculation puts the total energy at -0.2422 hartree per atom.

=====

(2)
A geometry-optimized TaCd2Pt structure. Source: Alexandria via LeMat-Bulk, functional GGA-PBE.

Unit cell a=5.951 b=5.951 c=5.026 alpha=64.60 beta=64.60 gamma=27.80
Atoms (fractional coordinates):
Ta 0.250 0.250 0.250
Cd 0.012 0.012 0.988
Cd 0.488 0.488 0.512
Pt 0.750 0.750 0.750

Calculated values
For the calculated density, the calculation gives 13.399 Mg/m³. The offset from the most stable computed form comes out at 189 meV per atom. Its symmetry is No. 12. Its magnetic moment is 0.00 μB/f.u. The calculation puts the total energy at -0.1808 hartree per atom.

=====

(3)
A geometry-optimized Ta2TlCdPt structure. Source: Alexandria via LeMat-Bulk, functional GGA-PBE.

Unit cell a=5.030 b=4.962 c=5.030 alpha=90.00 beta=90.00 gamma=90.00
Atoms (fractional coordinates):
Cd 0.000 0.000 0.000
Ta 0.000 0.000 0.500
Ta 0.500 0.000 0.000
Tl 0.000 0.500 0.000
Pt 0.500 0.500 0.500

Calculated values
For the calculated density, the calculation gives 11.556 Mg/m³. Its symmetry is No. 123. Its magnetic moment is 0.00 μB/f.u. The calculation puts the total energy at -0.1655 hartree per atom.

=====

(4)
A geometry-optimized ZrTaCd2Pt structure. Source: Alexandria via LeMat-Bulk, functional GGA-PBE.

Unit cell a=5.200 b=4.779 c=5.200 alpha=90.00 beta=90.00 gamma=90.00
Atoms (fractional coordinates):
Pt 0.000 0.500 0.000
Zr 0.500 0.500 0.500
Ta 0.000 0.000 0.000
Cd 0.000 0.000 0.500
Cd 0.500 0.000 0.000

Calculated values
For the calculated density, the calculation gives 8.894 Mg/m³. Its symmetry is No. 123. Its magnetic moment is 0.00 μB/f.u. The calculation puts the total energy at -0.1713 hartree per atom.

=====

(5)
A geometry-optimized Tb2CdPt structure. Source: Alexandria via LeMat-Bulk, functional GGA-PBE.

Unit cell a=5.114 b=5.114 c=5.114 alpha=60.00 beta=60.00 gamma=60.00
Atoms (fractional coordinates):
Cd 0.000 0.000 0.000
Tb 0.750 0.750 0.750
Tb 0.250 0.250 0.250
Pt 0.500 0.500 0.500

Calculated values
For the calculated density, the calculation gives 10.981 Mg/m³. The offset from the most stable computed form comes out at 64 meV per atom. Its symmetry is No. 225. Its magnetic moment is 0.00 μB/f.u. The calculation puts the total energy at -0.1753 hartree per atom.

=====

(6)
A geometry-optimized TbCd2Pt9 structure. Source: Alexandria via LeMat-Bulk, functional GGA-PBE.

Unit cell a=5.371 b=5.371 c=9.293 alpha=73.20 beta=73.20 gamma=60.00
Atoms (fractional coordinates):
Pt 0.919 0.413 0.255
Pt 0.587 0.587 0.745
Pt 0.413 0.919 0.255
Pt 0.334 0.334 0.999
Pt 0.587 0.081 0.745
Pt 0.666 0.666 0.001
Pt 0.081 0.587 0.745
Pt 0.413 0.413 0.255
Pt 0.500 0.500 0.500
Cd 0.856 0.856 0.433
Cd 0.144 0.144 0.567
Tb 0.000 0.000 0.000

Calculated values
For the calculated density, the calculation gives 16.234 Mg/m³. Its symmetry is No. 166. Its magnetic moment is 0.00 μB/f.u. The calculation puts the total energy at -0.2025 hartree per atom.

=====

(7)
A geometry-optimized TbCd2Pt2 structure. Source: Alexandria via LeMat-Bulk, functional GGA-PBE.

Unit cell a=4.627 b=5.480 c=8.974 alpha=108.28 beta=90.00 gamma=90.00
Atoms (fractional coordinates):
Pt 0.250 0.901 0.579
Pt 0.750 0.658 0.016
Pt 0.750 0.099 0.421
Pt 0.250 0.342 0.984
Tb 0.250 0.838 0.234
Tb 0.750 0.162 0.766
Cd 0.250 0.387 0.554
Cd 0.250 0.788 0.868
Cd 0.750 0.613 0.446
Cd 0.750 0.212 0.132

Calculated values
For the calculated density, the calculation gives 11.896 Mg/m³. Its symmetry is No. 11. Its magnetic moment is 0.00 μB/f.u. The calculation puts the total energy at -0.1602 hartree per atom.

=====

(8)
A geometry-optimized Tb6CdPt2 structure. Source: Alexandria via LeMat-Bulk, functional GGA-PBE.

Unit cell a=8.589 b=8.589 c=8.589 alpha=104.41 beta=110.88 gamma=113.24
Atoms (fractional coordinates):
Tb 0.107 0.289 0.818
Tb 0.529 0.711 0.818
Tb 0.198 0.237 0.436
Tb 0.302 0.973 0.671
Tb 0.471 0.289 0.182
Tb 0.802 0.237 0.039
Tb 0.302 0.631 0.329
Tb 0.698 0.369 0.671
Tb 0.893 0.711 0.182
Tb 0.698 0.027 0.329
Tb 0.198 0.763 0.961
Tb 0.802 0.763 0.564
Cd 0.000 0.000 0.000
Cd 0.000 0.500 0.500
Pt 0.500 0.634 0.134
Pt 0.338 0.000 0.338
Pt 0.662 0.000 0.662
Pt 0.500 0.366 0.866

Calculated values
For the calculated density, the calculation gives 9.978 Mg/m³. Its symmetry is No. 71. Its magnetic moment is 0.00 μB/f.u. The calculation puts the total energy at -0.1914 hartree per atom.

=====

(9)
A geometry-optimized Tb3CdPt4 structure. Source: Alexandria via LeMat-Bulk, functional GGA-PBE.

Unit cell a=3.803 b=6.588 c=8.333 alpha=113.27 beta=103.19 gamma=90.00
Atoms (fractional coordinates):
Tb 0.193 0.193 0.385
Tb 0.807 0.807 0.615
Tb 0.000 0.500 0.000
Pt 0.628 0.426 0.256
Pt 0.628 0.830 0.257
Pt 0.372 0.574 0.744
Pt 0.372 0.170 0.743
Cd 0.500 0.000 0.000

Calculated values
For the calculated density, the calculation gives 12.239 Mg/m³. Its symmetry is No. 71. Its magnetic moment is 0.00 μB/f.u. The calculation puts the total energy at -0.2136 hartree per atom.

=====

(10)
A geometry-optimized Tb4Cd3Pt structure. Source: Alexandria via LeMat-Bulk, functional GGA-PBE.

Unit cell a=3.665 b=3.665 c=14.965 alpha=90.00 beta=90.00 gamma=90.00
Atoms (fractional coordinates):
Tb 0.000 0.000 0.630
Tb 0.000 0.000 0.109
Tb 0.000 0.000 0.370
Tb 0.000 0.000 0.891
Cd 0.500 0.500 0.243
Cd 0.500 0.500 0.500
Cd 0.500 0.500 0.757
Pt 0.500 0.500 0.000

Calculated values
For the calculated density, the calculation gives 9.651 Mg/m³. Its symmetry is No. 123. Its magnetic moment is 0.00 μB/f.u. The calculation puts the total energy at -0.1457 hartree per atom.

=====

(11)
A geometry-optimized Tb3CdPt12 structure. Source: Alexandria via LeMat-Bulk, functional GGA-PBE.

Unit cell a=4.116 b=4.116 c=16.370 alpha=90.00 beta=90.00 gamma=90.00
Atoms (fractional coordinates):
Pt 0.500 0.000 0.374
Pt 0.000 0.500 0.121
Pt 0.500 0.000 0.121
Pt 0.500 0.500 0.000
Pt 0.500 0.500 0.753
Pt 0.000 0.500 0.879
Pt 0.500 0.500 0.500
Pt 0.500 0.000 0.879
Pt 0.000 0.500 0.626
Pt 0.500 0.500 0.247
Pt 0.000 0.500 0.374
Pt 0.500 0.000 0.626
Cd 0.000 0.000 0.000
Tb 0.000 0.000 0.247
Tb 0.000 0.000 0.500
Tb 0.000 0.000 0.753

Calculated values
For the calculated density, the calculation gives 17.541 Mg/m³. Its symmetry is No. 123. Its magnetic moment is 0.00 μB/f.u. The calculation puts the total energy at -0.2301 hartree per atom.

=====

(12)
A geometry-optimized Tb2CdPt9 structure. Source: Alexandria via LeMat-Bulk, functional GGA-PBE.

Unit cell a=5.405 b=5.405 c=9.375 alpha=73.25 beta=73.25 gamma=60.00
Atoms (fractional coordinates):
Pt 0.919 0.412 0.256
Pt 0.412 0.919 0.256
Pt 0.333 0.333 0.002
Pt 0.588 0.081 0.744
Pt 0.412 0.412 0.256
Pt 0.588 0.588 0.744
Pt 0.081 0.588 0.744
Pt 0.667 0.667 0.998
Pt 0.500 0.500 0.500
Tb 0.137 0.137 0.590
Tb 0.863 0.863 0.410
Cd 0.000 0.000 0.000

Calculated values
For the calculated density, the calculation gives 16.230 Mg/m³. The offset from the most stable computed form comes out at 66 meV per atom. Its symmetry is No. 166. Its magnetic moment is 0.00 μB/f.u. The calculation puts the total energy at -0.2222 hartree per atom.